--- 1 ---
## PdPb2Br (PBE-GGA)

Data for a relaxed PdPb2Br crystal.

abc: 8.5673 8.5673 8.5673
angles: 136.59 136.59 63.07
Atoms (fractional coordinates):
Pd: 0.0000 0.0000 0.0000
Pd: 0.7500 0.2500 0.5000
Pb: 0.0563 0.6250 0.9313
Pb: 0.3750 0.3063 0.4313
Pb: 0.6937 0.1250 0.0687
Pb: 0.8750 0.9437 0.5687
Br: 0.2500 0.7500 0.5000
Br: 0.5000 0.5000 0.0000

=====

--- 2 ---
## PdPb2Br (PBE-GGA)

Data for a relaxed PdPb2Br crystal.

abc: 3.5536 3.5536 8.0765
angles: 90.00 90.00 90.00
Atoms (fractional coordinates):
Pd: 0.0000 0.0000 0.0000
Pb: 0.5000 0.5000 0.2138
Pb: 0.5000 0.5000 0.7862
Br: 0.0000 0.0000 0.5000

=====

Which of them is the most stable? Correct choice: 2.

=====

--- 1 ---
## PdPb2Br6 (PBE-GGA)

Data for a relaxed PdPb2Br6 crystal.

abc: 7.0303 7.8681 12.1517
angles: 90.00 124.94 90.00
Atoms (fractional coordinates):
Pd: 0.0000 0.0000 0.0000
Pd: 0.0000 0.5000 0.5000
Pb: 0.2635 0.0941 0.7393
Pb: 0.2635 0.4059 0.2393
Pb: 0.7365 0.5941 0.7607
Pb: 0.7365 0.9059 0.2607
Br: 0.1284 0.0311 0.2524
Br: 0.1284 0.4689 0.7524
Br: 0.2111 0.6954 0.0529
Br: 0.2111 0.8046 0.5529
Br: 0.3800 0.1671 0.0609
Br: 0.3800 0.3329 0.5609
Br: 0.6200 0.6671 0.4391
Br: 0.6200 0.8329 0.9391
Br: 0.7889 0.1954 0.4471
Br: 0.7889 0.3046 0.9471
Br: 0.8716 0.5311 0.2476
Br: 0.8716 0.9689 0.7476

=====

--- 2 ---
## PdPb2Br6 (PBE-GGA)

Data for a relaxed PdPb2Br6 crystal.

abc: 6.8877 6.8877 13.0924
angles: 90.00 90.00 90.00
Atoms (fractional coordinates):
Pd: 0.0000 0.0000 0.0000
Pd: 0.5000 0.5000 0.5000
Pb: 0.0000 0.0000 0.3359
Pb: 0.0000 0.0000 0.6641
Pb: 0.5000 0.5000 0.1641
Pb: 0.5000 0.5000 0.8359
Br: 0.1864 0.1864 0.1507
Br: 0.1864 0.1864 0.8493
Br: 0.2228 0.2228 0.5000
Br: 0.2772 0.7228 0.0000
Br: 0.3136 0.6864 0.3493
Br: 0.3136 0.6864 0.6507
Br: 0.6864 0.3136 0.3493
Br: 0.6864 0.3136 0.6507
Br: 0.7228 0.2772 0.0000
Br: 0.7772 0.7772 0.5000
Br: 0.8136 0.8136 0.1507
Br: 0.8136 0.8136 0.8493

=====

--- 3 ---
## PdPb2Br6 (PBE-GGA)

Data for a relaxed PdPb2Br6 crystal.

abc: 9.9608 6.9661 8.2138
angles: 90.00 90.18 90.00
Atoms (fractional coordinates):
Pd: 0.0000 0.0000 0.0000
Pd: 0.0000 0.5000 0.5000
Pb: 0.2855 0.0479 0.6291
Pb: 0.2855 0.4521 0.1291
Pb: 0.7145 0.5479 0.8709
Pb: 0.7145 0.9521 0.3709
Br: 0.0734 0.2058 0.3569
Br: 0.0734 0.2942 0.8569
Br: 0.2309 0.6312 0.4785
Br: 0.2309 0.8688 0.9785
Br: 0.4492 0.1682 0.3366
Br: 0.4492 0.3318 0.8366
Br: 0.5508 0.6682 0.1634
Br: 0.5508 0.8318 0.6634
Br: 0.7691 0.1312 0.0215
Br: 0.7691 0.3688 0.5215
Br: 0.9266 0.7058 0.1431
Br: 0.9266 0.7942 0.6431

=====

Which of them is the most stable? Correct choice: 3.

=====

--- 1 ---
## PdPbBr2 (PBE-GGA)

Data for a relaxed PdPbBr2 crystal.

abc: 9.3386 9.3386 9.3386
angles: 147.05 147.05 47.29
Atoms (fractional coordinates):
Pd: 0.0000 0.0000 0.0000
Pd: 0.7500 0.2500 0.5000
Pb: 0.2500 0.7500 0.5000
Pb: 0.5000 0.5000 0.0000
Br: 0.0789 0.6250 0.9539
Br: 0.3750 0.3289 0.4539
Br: 0.6711 0.1250 0.0461
Br: 0.8750 0.9211 0.5461

=====

--- 2 ---
## PdPbBr2 (PBE-GGA)

Data for a relaxed PdPbBr2 crystal.

abc: 9.4943 9.4943 9.4943
angles: 23.10 23.10 23.10
Atoms (fractional coordinates):
Pd: 0.0000 0.0000 0.0000
Pb: 0.5000 0.5000 0.5000
Br: 0.3902 0.3902 0.3902
Br: 0.6098 0.6098 0.6098

=====

--- 3 ---
## PdPbBr2 (PBE-GGA)

Data for a relaxed PdPbBr2 crystal.

abc: 5.1821 5.1821 5.1821
angles: 60.00 60.00 60.00
Atoms (fractional coordinates):
Pd: 0.0000 0.0000 0.0000
Pb: 0.5000 0.5000 0.5000
Br: 0.2500 0.2500 0.2500
Br: 0.7500 0.7500 0.7500

=====

Which of them is the most stable? Correct choice: 1.

=====

--- 1 ---
## PdPb3Br (PBE-GGA)

Data for a relaxed PdPb3Br crystal.

abc: 5.6376 5.6376 5.6376
angles: 90.00 90.00 90.00
Atoms (fractional coordinates):
Pd: 0.0000 0.0000 0.0000
Pb: 0.0000 0.5000 0.5000
Pb: 0.5000 0.0000 0.5000
Pb: 0.5000 0.5000 0.0000
Br: 0.5000 0.5000 0.5000

=====

--- 2 ---
## PdPb3Br (PBE-GGA)

Data for a relaxed PdPb3Br crystal.

abc: 5.4452 5.4452 5.4452
angles: 90.00 90.00 90.00
Atoms (fractional coordinates):
Pd: 0.0000 0.0000 0.0000
Pb: 0.0000 0.0000 0.5000
Pb: 0.0000 0.5000 0.0000
Pb: 0.5000 0.0000 0.0000
Br: 0.5000 0.5000 0.5000

=====

Which of them is the most stable? Correct choice: 2.

=====

--- 1 ---
## Pm2PbBr (PBE-GGA)

Data for a relaxed Pm2PbBr crystal.

abc: 3.6176 3.6176 8.4429
angles: 90.00 90.00 90.00
Atoms (fractional coordinates):
Pm: 0.0000 0.0000 0.2456
Pm: 0.0000 0.0000 0.7544
Pb: 0.5000 0.5000 0.5000
Br: 0.5000 0.5000 0.0000

=====

--- 2 ---
## Pm2PbBr (PBE-GGA)

Data for a relaxed Pm2PbBr crystal.

abc: 7.8508 7.8508 7.7631
angles: 101.34 101.34 32.96
Atoms (fractional coordinates):
Pm: 0.0138 0.0138 0.2750
Pm: 0.2523 0.2523 0.7162
Pm: 0.7477 0.7477 0.2838
Pm: 0.9862 0.9862 0.7250
Pb: 0.3876 0.3876 0.4484
Pb: 0.6124 0.6124 0.5516
Br: 0.1480 0.1480 0.0338
Br: 0.8520 0.8520 0.9662

=====

Which of them is the most stable? Correct choice: 2.

=====

--- 1 ---
## Pm4Pb2Br (PBE-GGA)

Data for a relaxed Pm4Pb2Br crystal.

abc: 9.1573 9.1573 9.1573
angles: 146.01 146.01 48.83
Atoms (fractional coordinates):
Pm: 0.0000 0.5000 0.5000
Pm: 0.1751 0.1751 0.0000
Pm: 0.5000 0.0000 0.5000
Pm: 0.8249 0.8249 0.0000
Pb: 0.3661 0.3661 0.0000
Pb: 0.6339 0.6339 0.0000
Br: 0.0000 0.0000 0.0000

=====

--- 2 ---
## Pm4Pb2Br (PBE-GGA)

Data for a relaxed Pm4Pb2Br crystal.

abc: 8.2259 8.2259 8.2259
angles: 111.62 110.31 106.52
Atoms (fractional coordinates):
Pm: 0.0077 0.8745 0.5189
Pm: 0.1228 0.1431 0.1322
Pm: 0.3772 0.5094 0.0203
Pm: 0.4923 0.0112 0.8668
Pm: 0.5109 0.9906 0.3678
Pm: 0.6444 0.6255 0.6332
Pm: 0.8556 0.4888 0.9811
Pm: 0.9891 0.3569 0.4797
Pb: 0.1348 0.7500 0.8848
Pb: 0.2500 0.6288 0.3788
Pb: 0.3652 0.2500 0.6152
Pb: 0.7500 0.8712 0.1212
Br: 0.6559 0.4059 0.2500
Br: 0.8441 0.0941 0.7500

=====

Which of them is the most stable? Correct choice: 2.

=====

--- 1 ---
## PmPbBr (PBE-GGA)

Data for a relaxed PmPbBr crystal.

abc: 3.8319 3.8319 12.4865
angles: 90.00 90.00 90.00
Atoms (fractional coordinates):
Pm: 0.2500 0.2500 0.2374
Pm: 0.7500 0.7500 0.7626
Pb: 0.2500 0.2500 0.9294
Pb: 0.7500 0.7500 0.0706
Br: 0.2500 0.2500 0.6331
Br: 0.7500 0.7500 0.3669

=====

--- 2 ---
## PmPbBr (PBE-GGA)

Data for a relaxed PmPbBr crystal.

abc: 4.1634 4.8205 11.1704
angles: 77.75 89.85 90.00
Atoms (fractional coordinates):
Pm: 0.2486 0.4146 0.1740
Pm: 0.7514 0.5854 0.8260
Pb: 0.2508 0.0500 0.8978
Pb: 0.7492 0.9500 0.1022
Br: 0.2528 0.6788 0.6351
Br: 0.7472 0.3212 0.3649

=====

Which of them is the most stable? Correct choice: 2.

=====

--- 1 ---
## PtPbBr2 (PBE-GGA)

Data for a relaxed PtPbBr2 crystal.

abc: 6.3352 6.3352 5.5349
angles: 90.35 90.35 36.74
Atoms (fractional coordinates):
Pt: 0.0000 0.0000 0.0000
Pb: 0.6343 0.6343 0.8115
Br: 0.1360 0.1360 0.3300
Br: 0.3697 0.3697 0.8116

=====

--- 2 ---
## PtPbBr2 (PBE-GGA)

Data for a relaxed PtPbBr2 crystal.

abc: 8.0065 8.0065 8.0065
angles: 153.52 149.68 40.69
Atoms (fractional coordinates):
Pt: 0.0000 0.0000 0.0000
Pb: 0.8495 0.3495 0.5000
Br: 0.2489 0.7489 0.5000
Br: 0.5132 0.5132 0.0000

=====

--- 3 ---
## PtPbBr2 (PBE-GGA)

Data for a relaxed PtPbBr2 crystal.

abc: 3.7505 4.5310 5.9065
angles: 90.00 90.00 90.00
Atoms (fractional coordinates):
Pt: 0.0000 0.0000 0.0000
Pb: 0.5000 0.0000 0.5000
Br: 0.0000 0.5000 0.5000
Br: 0.5000 0.5000 0.0000

=====

--- 4 ---
## PtPbBr2 (PBE-GGA)

Data for a relaxed PtPbBr2 crystal.

abc: 5.1337 5.1337 5.1337
angles: 60.00 60.00 60.00
Atoms (fractional coordinates):
Pt: 0.0000 0.0000 0.0000
Pb: 0.7500 0.7500 0.7500
Br: 0.2500 0.2500 0.2500
Br: 0.5000 0.5000 0.5000

=====

Which of them is the most stable? Correct choice: 1.

=====

--- 1 ---
## PtPbBr2 (PBE-GGA)

Data for a relaxed PtPbBr2 crystal.

abc: 5.5131 5.5131 4.9797
angles: 113.28 113.28 106.39
Atoms (fractional coordinates):
Pt: 0.0000 0.0000 0.0000
Pb: 0.5000 0.5000 0.0000
Br: 0.0000 0.5000 0.5000
Br: 0.5000 0.0000 0.5000

=====

--- 2 ---
## PtPbBr2 (PBE-GGA)

Data for a relaxed PtPbBr2 crystal.

abc: 5.6601 3.7263 5.7677
angles: 90.00 114.54 90.00
Atoms (fractional coordinates):
Pt: 0.0000 0.0000 0.0000
Pb: 0.5000 0.0000 0.5000
Br: 0.1798 0.5000 0.8160
Br: 0.8202 0.5000 0.1840

=====

--- 3 ---
## PtPbBr2 (PBE-GGA)

Data for a relaxed PtPbBr2 crystal.

abc: 6.4075 6.4075 6.4075
angles: 141.79 141.79 55.14
Atoms (fractional coordinates):
Pt: 0.0000 0.0000 0.0000
Pb: 0.7500 0.2500 0.5000
Br: 0.2500 0.7500 0.5000
Br: 0.5000 0.5000 0.0000

=====

Which of them is the most stable? Correct choice: 2.